Run i
The following is a DFT calculation (PBE-GGA) of a relaxed structure of Dy3Tm5Sc2.

Cell: 9.138 9.143 9.156 Å, 106.58 106.56 115.38°
Sites, in units of the cell vectors:
Dy 0.026 0.077 0.350
Dy 0.178 0.526 0.452
Dy 0.228 0.677 0.150
Dy 0.772 0.323 0.850
Dy 0.822 0.474 0.548
Dy 0.974 0.923 0.650
Tm 0.075 0.226 0.051
Tm 0.128 0.378 0.750
Tm 0.325 0.977 0.552
Tm 0.378 0.128 0.250
Tm 0.426 0.275 0.952
Tm 0.574 0.725 0.048
Tm 0.622 0.872 0.750
Tm 0.675 0.023 0.448
Tm 0.872 0.622 0.250
Tm 0.925 0.774 0.949
Sc 0.279 0.828 0.852
Sc 0.476 0.426 0.649
Sc 0.524 0.574 0.351
Sc 0.721 0.172 0.148

Space-group type: P-1
Magnetization: 0.000 μB per cell

Run ii
The following is a DFT calculation (PBE-GGA) of a relaxed structure of Dy3Tm5Sc2.

Cell: 10.650 10.650 10.650 Å, 109.59 80.41 146.23°
Sites, in units of the cell vectors:
Dy 0.189 0.097 0.287
Dy 0.250 0.250 0.000
Dy 0.311 0.597 0.908
Dy 0.689 0.403 0.092
Dy 0.750 0.750 0.000
Dy 0.811 0.903 0.713
Tm 0.164 0.386 0.550
Tm 0.250 0.501 0.251
Tm 0.250 0.750 0.500
Tm 0.250 0.999 0.749
Tm 0.336 0.886 0.222
Tm 0.664 0.114 0.778
Tm 0.750 0.001 0.251
Tm 0.750 0.250 0.500
Tm 0.750 0.499 0.749
Tm 0.836 0.614 0.450
Sc 0.159 0.803 0.962
Sc 0.341 0.303 0.645
Sc 0.659 0.697 0.355
Sc 0.841 0.197 0.038

Space-group type: Ibam
Magnetization: 0.002 μB per cell

Of them, the most stable is run i and the least stable is run ii.

Run i
The following is a DFT calculation (PBE-GGA) of a relaxed structure of Dy2Tm5Sc5.

Cell: 7.606 7.606 10.768 Å, 115.05 115.05 36.81°
Sites, in units of the cell vectors:
Dy 0.083 0.083 0.246
Dy 0.917 0.917 0.754
Tm 0.335 0.335 0.500
Tm 0.413 0.413 0.248
Tm 0.500 0.500 0.000
Tm 0.587 0.587 0.752
Tm 0.665 0.665 0.500
Sc 0.000 0.000 0.500
Sc 0.171 0.171 0.001
Sc 0.249 0.249 0.753
Sc 0.751 0.751 0.247
Sc 0.829 0.829 0.999

Space-group type: C2/m
Magnetization: 0.000 μB per cell

Run ii
The following is a DFT calculation (PBE-GGA) of a relaxed structure of Dy2Tm5Sc5.

Cell: 6.329 6.329 11.482 Å, 106.61 106.61 49.92°
Sites, in units of the cell vectors:
Dy 0.037 0.037 0.211
Dy 0.963 0.963 0.789
Tm 0.000 0.000 0.500
Tm 0.210 0.210 0.046
Tm 0.254 0.254 0.745
Tm 0.746 0.746 0.255
Tm 0.790 0.790 0.954
Sc 0.293 0.293 0.460
Sc 0.458 0.458 0.299
Sc 0.500 0.500 0.000
Sc 0.542 0.542 0.701
Sc 0.707 0.707 0.540

Space-group type: C2/m
Magnetization: 0.001 μB per cell

Of them, the most stable is run i and the least stable is run ii.

Run i
The following is a DFT calculation (PBE-GGA) of a relaxed structure of Dy6Tm4Sc.

Cell: 5.516 5.516 25.364 Å, 90.00 90.00 119.44°
Sites, in units of the cell vectors:
Dy 0.000 0.000 0.000
Dy 0.000 0.000 0.500
Dy 0.012 0.988 0.750
Dy 0.323 0.677 0.106
Dy 0.323 0.677 0.394
Dy 0.345 0.655 0.683
Dy 0.345 0.655 0.817
Dy 0.655 0.345 0.183
Dy 0.655 0.345 0.317
Dy 0.677 0.323 0.606
Dy 0.677 0.323 0.894
Dy 0.988 0.012 0.250
Tm 0.013 0.987 0.622
Tm 0.013 0.987 0.878
Tm 0.338 0.662 0.543
Tm 0.338 0.662 0.957
Tm 0.662 0.338 0.043
Tm 0.662 0.338 0.457
Tm 0.987 0.013 0.122
Tm 0.987 0.013 0.378
Sc 0.322 0.678 0.250
Sc 0.678 0.322 0.750

Space-group type: Cmcm
Magnetization: 0.000 μB per cell

Run ii
The following is a DFT calculation (PBE-GGA) of a relaxed structure of Dy6Tm4Sc.

Cell: 9.579 9.579 9.579 Å, 140.61 140.61 56.93°
Sites, in units of the cell vectors:
Dy 0.000 0.500 0.500
Dy 0.014 0.643 0.000
Dy 0.357 0.357 0.371
Dy 0.500 0.000 0.500
Dy 0.643 0.014 0.000
Dy 0.986 0.986 0.629
Tm 0.189 0.189 0.641
Tm 0.452 0.811 0.000
Tm 0.548 0.548 0.359
Tm 0.811 0.452 0.000
Sc 0.000 0.000 0.000

Space-group type: I-42m
Magnetization: 0.000 μB per cell

Of them, the most stable is run i and the least stable is run ii.

Run i
The following is a DFT calculation (PBE-GGA) of a relaxed structure of Dy2Tm7Sc2.

Cell: 5.984 5.996 9.145 Å, 90.02 96.22 99.73°
Sites, in units of the cell vectors:
Dy 0.227 0.454 0.407
Dy 0.773 0.546 0.593
Tm 0.047 0.090 0.687
Tm 0.318 0.634 0.778
Tm 0.405 0.817 0.132
Tm 0.500 0.000 0.500
Tm 0.595 0.183 0.868
Tm 0.682 0.366 0.222
Tm 0.953 0.910 0.313
Sc 0.134 0.272 0.044
Sc 0.866 0.728 0.956

Space-group type: P-1
Magnetization: 0.000 μB per cell

Run ii
The following is a DFT calculation (PBE-GGA) of a relaxed structure of Dy2Tm7Sc2.

Cell: 6.387 6.387 8.303 Å, 98.71 98.71 92.08°
Sites, in units of the cell vectors:
Dy 0.180 0.820 0.000
Dy 0.820 0.180 0.000
Tm 0.041 0.410 0.697
Tm 0.341 0.341 0.088
Tm 0.410 0.041 0.697
Tm 0.500 0.500 0.500
Tm 0.590 0.959 0.303
Tm 0.659 0.659 0.912
Tm 0.959 0.590 0.303
Sc 0.105 0.105 0.351
Sc 0.895 0.895 0.649

Space-group type: C2/m
Magnetization: 0.002 μB per cell

Of them, the most stable is run i and the least stable is run ii.

Run i
The following is a DFT calculation (PBE-GGA) of a relaxed structure of Dy8Tm6Sc.

Cell: 9.715 9.715 5.688 Å, 90.00 90.00 120.00°
Sites, in units of the cell vectors:
Dy 0.051 0.780 0.234
Dy 0.220 0.272 0.234
Dy 0.272 0.051 0.766
Dy 0.333 0.667 0.236
Dy 0.667 0.333 0.764
Dy 0.728 0.949 0.234
Dy 0.780 0.728 0.766
Dy 0.949 0.220 0.766
Tm 0.092 0.621 0.743
Tm 0.379 0.471 0.743
Tm 0.471 0.092 0.257
Tm 0.529 0.908 0.743
Tm 0.621 0.529 0.257
Tm 0.908 0.379 0.257
Sc 0.000 0.000 0.500

Space-group type: P-3
Magnetization: 0.000 μB per cell

Run ii
The following is a DFT calculation (PBE-GGA) of a relaxed structure of Dy8Tm6Sc.

Cell: 8.043 8.043 8.043 Å, 73.08 73.08 73.08°
Sites, in units of the cell vectors:
Dy 0.089 0.089 0.089
Dy 0.147 0.568 0.270
Dy 0.270 0.147 0.568
Dy 0.432 0.730 0.853
Dy 0.568 0.270 0.147
Dy 0.730 0.853 0.432
Dy 0.853 0.432 0.730
Dy 0.911 0.911 0.911
Tm 0.115 0.786 0.563
Tm 0.214 0.437 0.885
Tm 0.437 0.885 0.214
Tm 0.563 0.115 0.786
Tm 0.786 0.563 0.115
Tm 0.885 0.214 0.437
Sc 0.500 0.500 0.500

Space-group type: R-3
Magnetization: 0.000 μB per cell

Of them, the most stable is run i and the least stable is run ii.

Run i
The following is a DFT calculation (PBE-GGA) of a relaxed structure of Dy4Tm2Sc5.

Cell: 11.454 11.454 8.335 Å, 93.08 93.08 16.82°
Sites, in units of the cell vectors:
Dy 0.045 0.045 0.337
Dy 0.412 0.412 0.303
Dy 0.588 0.588 0.697
Dy 0.955 0.955 0.663
Tm 0.272 0.272 0.176
Tm 0.728 0.728 0.824
Sc 0.130 0.130 0.038
Sc 0.188 0.188 0.478
Sc 0.500 0.500 0.000
Sc 0.812 0.812 0.522
Sc 0.870 0.870 0.962

Space-group type: C2/m
Magnetization: 0.000 μB per cell

Run ii
The following is a DFT calculation (PBE-GGA) of a relaxed structure of Dy4Tm2Sc5.

Cell: 9.002 9.002 7.573 Å, 104.08 104.08 31.12°
Sites, in units of the cell vectors:
Dy 0.046 0.046 0.235
Dy 0.318 0.318 0.586
Dy 0.682 0.682 0.414
Dy 0.954 0.954 0.765
Tm 0.407 0.407 0.051
Tm 0.593 0.593 0.949
Sc 0.139 0.139 0.689
Sc 0.227 0.227 0.130
Sc 0.500 0.500 0.500
Sc 0.773 0.773 0.870
Sc 0.861 0.861 0.311

Space-group type: C2/m
Magnetization: 0.000 μB per cell

Of them, the most stable is run ii and the least stable is run i.

Run i
The following is a DFT calculation (PBE-GGA) of a relaxed structure of Dy3TmSc.

Cell: 6.148 5.508 9.391 Å, 90.00 109.01 90.00°
Sites, in units of the cell vectors:
Dy 0.139 0.250 0.098
Dy 0.272 0.750 0.708
Dy 0.334 0.250 0.503
Dy 0.666 0.750 0.497
Dy 0.728 0.250 0.292
Dy 0.861 0.750 0.902
Tm 0.067 0.750 0.298
Tm 0.933 0.250 0.702
Sc 0.466 0.750 0.097
Sc 0.534 0.250 0.903

Space-group type: P2_1/m
Magnetization: 0.002 μB per cell

Run ii
The following is a DFT calculation (PBE-GGA) of a relaxed structure of Dy3TmSc.

Cell: 8.705 8.705 10.436 Å, 90.00 90.00 157.00°
Sites, in units of the cell vectors:
Dy 0.000 0.000 0.000
Dy 0.000 0.000 0.500
Dy 0.327 0.673 0.559
Dy 0.327 0.673 0.941
Dy 0.673 0.327 0.059
Dy 0.673 0.327 0.441
Tm 0.147 0.853 0.750
Tm 0.853 0.147 0.250
Sc 0.477 0.523 0.750
Sc 0.523 0.477 0.250

Space-group type: Cmcm
Magnetization: 0.000 μB per cell

Of them, the most stable is run i and the least stable is run ii.

Run i
The following is a DFT calculation (PBE-GGA) of a relaxed structure of Dy6Tm3Sc.

Cell: 6.795 6.795 6.795 Å, 90.37 90.37 90.37°
Sites, in units of the cell vectors:
Dy 0.003 0.677 0.320
Dy 0.166 0.508 0.825
Dy 0.320 0.003 0.677
Dy 0.508 0.825 0.166
Dy 0.677 0.320 0.003
Dy 0.825 0.166 0.508
Tm 0.146 0.146 0.146
Tm 0.393 0.393 0.393
Tm 0.654 0.654 0.654
Sc 0.896 0.896 0.896

Space-group type: R3
Magnetization: 0.000 μB per cell

Run ii
The following is a DFT calculation (PBE-GGA) of a relaxed structure of Dy6Tm3Sc.

Cell: 10.825 10.825 6.091 Å, 90.00 90.00 119.97°
Sites, in units of the cell vectors:
Dy 0.048 0.952 0.500
Dy 0.050 0.472 0.077
Dy 0.277 0.723 0.781
Dy 0.289 0.382 0.890
Dy 0.382 0.289 0.390
Dy 0.472 0.050 0.577
Dy 0.528 0.950 0.077
Dy 0.618 0.711 0.890
Dy 0.711 0.618 0.390
Dy 0.723 0.277 0.281
Dy 0.950 0.528 0.577
Dy 0.952 0.048 0.000
Tm 0.055 0.274 0.470
Tm 0.274 0.055 0.970
Tm 0.389 0.611 0.360
Tm 0.611 0.389 0.860
Tm 0.726 0.945 0.470
Tm 0.945 0.726 0.970
Sc 0.205 0.795 0.296
Sc 0.795 0.205 0.796

Space-group type: Cmc2_1
Magnetization: 0.001 μB per cell

Of them, the most stable is run ii and the least stable is run i.

Run i
The following is a DFT calculation (PBE-GGA) of a relaxed structure of Dy8Tm2Sc3.

Cell: 8.590 8.590 5.918 Å, 108.22 108.22 80.75°
Sites, in units of the cell vectors:
Dy 0.089 0.089 0.268
Dy 0.112 0.576 0.853
Dy 0.364 0.364 0.382
Dy 0.424 0.888 0.147
Dy 0.576 0.112 0.853
Dy 0.636 0.636 0.618
Dy 0.888 0.424 0.147
Dy 0.911 0.911 0.732
Tm 0.180 0.180 0.836
Tm 0.820 0.820 0.164
Sc 0.230 0.770 0.500
Sc 0.500 0.500 0.000
Sc 0.770 0.230 0.500

Space-group type: C2/m
Magnetization: 0.001 μB per cell

Run ii
The following is a DFT calculation (PBE-GGA) of a relaxed structure of Dy8Tm2Sc3.

Cell: 7.526 5.491 10.381 Å, 90.00 111.21 90.00°
Sites, in units of the cell vectors:
Dy 0.106 0.000 0.296
Dy 0.167 0.500 0.833
Dy 0.311 0.000 0.704
Dy 0.373 0.500 0.247
Dy 0.627 0.500 0.753
Dy 0.689 0.000 0.296
Dy 0.833 0.500 0.167
Dy 0.894 0.000 0.704
Tm 0.261 0.000 0.021
Tm 0.739 0.000 0.979
Sc 0.207 0.500 0.500
Sc 0.500 0.000 0.500
Sc 0.793 0.500 0.500

Space-group type: P2/m
Magnetization: 0.000 μB per cell

Of them, the most stable is run i and the least stable is run ii.